Entry 1:
Here is an optimized crystal structure of Li2NpAsS4 from the Alexandria database. Energies are from PBE.

The space group is Imma (No. 74) and the conventional cell measures 7.5226, 7.7632 and 10.7689 Å, with angles of 90.00, 90.00 and 90.00 degrees. The asymmetric unit holds Li at (0.0000, 0.0000, 0.0000), Li at (0.2500, 0.2500, 0.2500), Np at (0.0000, 0.0000, 0.5000), As at (0.2500, 0.2500, 0.7500), S at (0.0000, 0.0122, 0.7545) and S at (0.2455, 0.2500, 0.9969).

***

Entry 2:
Here is an optimized crystal structure of Li3Np3AsS8 from the Alexandria database. Energies are from PBE.

The space group is R-3m (No. 166, hexagonal axes) and the conventional cell measures 7.8243, 7.8243 and 18.2433 Å, with angles of 90.00, 90.00 and 120.00 degrees. The asymmetric unit holds Li at (0.0000, 0.5000, 0.0000), Np at (0.0000, 0.5000, 0.5000), As at (0.0000, 0.0000, 0.5000), S at (0.0000, 0.0000, 0.2507) and S at (0.0147, 0.5074, 0.2462).

***

Entry 3:
Here is an optimized crystal structure of Li4Np3AsS8 from the Alexandria database. Energies are from PBE.

The space group is R-3m (No. 166, hexagonal axes) and the conventional cell measures 7.7783, 7.7783 and 18.3692 Å, with angles of 90.00, 90.00 and 120.00 degrees. The asymmetric unit holds Li at (0.0000, 0.0000, 0.0000), Li at (0.0000, 0.5000, 0.0000), Np at (0.0000, 0.5000, 0.5000), As at (0.0000, 0.0000, 0.5000), S at (0.0000, 0.0000, 0.2511) and S at (0.0108, 0.5054, 0.2497).

***

It is found that the DOS at the Fermi energy values, taken in the order of the records, are 40.91 92.01 79.73 states/eV per cell.
It is found that the formation energy without anion corrections values, taken in the order of the records, are -919 -1129 -1137 meV per atom.
It is found that the total magnetization values, taken in the order of the records, are 4.0 11.0 12.0 μB per formula unit.